*P*
Computed, not measured: a geometry-optimized FeBiH structure at the PBE level of DFT.

abc: 4.575 4.572 7.486
angles: 75.00 64.79 43.49
Element x y z (fractional)
1 Fe 0.330 0.022 0.774
2 Fe 0.716 0.295 0.659
3 Bi 0.870 0.773 0.984
4 Bi 0.176 0.544 0.449
5 H 0.122 0.047 0.010
6 H 0.924 0.270 0.423

Calculated values
Density: 9.1 Mg/m³
Space-group type: P-1 (2)

***

*Q*
Computed, not measured: a geometry-optimized FeBiH structure at the PBE level of DFT.

abc: 3.390 3.390 8.025
angles: 90.00 90.00 90.00
Element x y z (fractional)
1 H 0.500 0.000 0.107
2 H 0.000 0.500 0.893
3 Bi 0.500 0.000 0.788
4 Bi 0.000 0.500 0.212
5 Fe 0.500 0.500 0.500
6 Fe 0.000 0.000 0.500

Calculated values
Density: 9.6 Mg/m³
Space-group type: P4/nmm (129)

***

Out of the structures above, which one is the most stable? Solution: *P*.